No. 1
The following is a DFT calculation (PBEsol) of a geometry-optimized Li2CoNiO4 structure.

a b c (Å): 5.601 5.630 8.182
angles (deg): 90.00 90.00 90.00
Space group Imma (No. 74)
Unique sites:
Li: 0.000 0.000 0.000
Li: 0.250 0.250 0.250
Co: 0.000 0.000 0.500
Ni: 0.250 0.250 0.750
O: 0.000 0.020 0.731
O: 0.229 0.250 0.500

Calculated values
Energy above the most stable polymorph in this dataset, meV/atom: 1
Total magnetization, μB/atom: 0.124
Uncorrected energy, eV/atom: -6.27

No. 2
The following is a DFT calculation (PBEsol) of a geometry-optimized LaSi3H structure.

a b c (Å): 5.548 5.548 5.548
angles (deg): 90.00 90.00 90.00
Space group Pm-3m (No. 221)
Unique sites:
La: 0.000 0.000 0.000
Si: 0.000 0.000 0.500
H: 0.500 0.500 0.500

Calculated values
Total magnetization, μB/atom: 0.205
Uncorrected energy, eV/atom: -3.34

No. 3
The following is a DFT calculation (PBEsol) of a geometry-optimized CeOs2 structure.

a b c (Å): 7.541 7.541 7.541
angles (deg): 90.00 90.00 90.00
Space group Fd-3m (No. 227, origin choice 2)
Unique sites:
Ce: 0.125 0.125 0.125
Os: 0.000 0.000 0.500

Calculated values
Total magnetization, μB/atom: 0.000
Uncorrected energy, eV/atom: -10.52

No. 4
The following is a DFT calculation (PBEsol) of a geometry-optimized RbRhSCl2 structure.

a b c (Å): 5.092 5.092 4.368
angles (deg): 90.00 90.00 90.00
Space group P4/mmm (No. 123)
Unique sites:
Rb: 0.000 0.000 0.000
Rh: 0.500 0.500 0.500
S: 0.500 0.500 0.000
Cl: 0.000 0.500 0.500

Calculated values
Total magnetization, μB/atom: 0.000
Uncorrected energy, eV/atom: -4.32

No. 5
The following is a DFT calculation (PBEsol) of a geometry-optimized In5Ag structure.

a b c (Å): 3.248 3.248 13.304
angles (deg): 90.00 90.00 90.00
Space group P4/mmm (No. 123)
Unique sites:
In: 0.000 0.000 0.000
In: 0.000 0.000 0.358
In: 0.500 0.500 0.179
Ag: 0.500 0.500 0.500

Calculated values
Energy above the most stable polymorph in this dataset, meV/atom: 0
Total magnetization, μB/atom: 0.000
Uncorrected energy, eV/atom: -3.03

No. 6
The following is a DFT calculation (PBEsol) of a geometry-optimized Sr2CuHg structure.

a b c (Å): 3.800 3.800 7.704
angles (deg): 90.00 90.00 90.00
Space group P4/mmm (No. 123)
Unique sites:
Sr: 0.000 0.000 0.238
Cu: 0.500 0.500 0.000
Hg: 0.500 0.500 0.500

Calculated values
Energy above the most stable polymorph in this dataset, meV/atom: 50
Total magnetization, μB/atom: 0.000
Uncorrected energy, eV/atom: -2.37

No. 7
The following is a DFT calculation (PBEsol) of a geometry-optimized ScPtSe2 structure.

a b c (Å): 6.545 6.545 6.545
angles (deg): 90.00 90.00 90.00
Space group Fm-3m (No. 225)
Unique sites:
Sc: 0.000 0.000 0.000
Pt: 0.000 0.000 0.500
Se: 0.250 0.250 0.250

Calculated values
Energy above the most stable polymorph in this dataset, meV/atom: 317
Total magnetization, μB/atom: 0.000
Uncorrected energy, eV/atom: -5.95

No. 8
The following is a DFT calculation (PBEsol) of a geometry-optimized NaIn2Ga2 structure.

a b c (Å): 4.404 4.404 12.327
angles (deg): 90.00 90.00 90.00
Space group I4/mmm (No. 139)
Unique sites:
Na: 0.000 0.000 0.000
In: 0.000 0.000 0.387
Ga: 0.000 0.500 0.250

Calculated values
Total magnetization, μB/atom: 0.000
Uncorrected energy, eV/atom: -2.87

No. 9
The following is a DFT calculation (PBEsol) of a geometry-optimized KBe3Tl structure.

a b c (Å): 4.715 4.715 4.715
angles (deg): 90.00 90.00 90.00
Space group Pm-3m (No. 221)
Unique sites:
K: 0.000 0.000 0.000
Be: 0.000 0.500 0.500
Tl: 0.500 0.500 0.500

Calculated values
Total magnetization, μB/atom: 0.000
Uncorrected energy, eV/atom: -2.11

No. 10
The following is a DFT calculation (PBEsol) of a geometry-optimized K2OsCl structure.

a b c (Å): 5.989 5.989 2.753
angles (deg): 90.00 90.00 90.00
Space group P4/mmm (No. 123)
Unique sites:
K: 0.000 0.500 0.000
Os: 0.000 0.000 0.500
Cl: 0.500 0.500 0.500

Calculated values
Energy above the most stable polymorph in this dataset, meV/atom: 162
Total magnetization, μB/atom: 0.268
Uncorrected energy, eV/atom: -3.59

No. 11
The following is a DFT calculation (PBEsol) of a geometry-optimized Si2TcTe structure.

a b c (Å): 3.104 3.104 7.144
angles (deg): 90.00 90.00 90.00
Space group P4mm (No. 99)
Unique sites:
Si: 0.000 0.000 0.000
Si: 0.500 0.500 0.187
Tc: 0.000 0.000 0.369
Te: 0.500 0.500 0.616

Calculated values
Total magnetization, μB/atom: 0.000
Uncorrected energy, eV/atom: -6.55

No. 12
The following is a DFT calculation (PBEsol) of a geometry-optimized Re2HgCl structure.

a b c (Å): 2.8660 2.8660 29.4226
angles (deg): 90.00 90.00 120.00
Space group R3m (No. 160, hexagonal axes)
Unique sites:
Re: 0.0000 0.0000 0.0000
Re: 0.0000 0.0000 0.2640
Hg: 0.0000 0.0000 0.7528
Cl: 0.0000 0.0000 0.5327

Calculated values
Energy above the most stable polymorph in this dataset, meV/atom: 0
Total magnetization, μB/atom: 0.000
Uncorrected energy, eV/atom: -7.06